# 1
VASP calculation (GGA-PBE) on a geometry-optimized Ba4AsW structure. Values from VASP.

Results
**Symmetry**: F-43m
**Energy**: -3.057 eV per atom
**Fermi-level density of states**: 1.0414 states/eV per atom
**Density**: 5.63 g/cm3
**Spin magnetization**: 3.28 Bohr magnetons per cell

The structure in Quantum ESPRESSO input format:
```
&SYSTEM
  ibrav = 0, nat = 6, ntyp = 3
/
ATOMIC_SPECIES
Ba 137.33 Ba.upf
As 74.92 As.upf
W 183.84 W.upf
ATOMIC_POSITIONS crystal
Ba 0.877 0.374 0.374
Ba 0.374 0.374 0.877
Ba 0.374 0.877 0.374
Ba 0.374 0.374 0.374
As 0.000 0.000 0.000
W 0.750 0.750 0.750
CELL_PARAMETERS angstrom
-2.300 -5.176 4.045
-3.422 1.441 5.887
-6.825 -1.285 0.462
```



# 2
VASP calculation (GGA-PBE) on a geometry-optimized BaAsW2 structure. Values from VASP.

Results
**Symmetry**: I-42d
**Energy**: -7.274 eV per atom
**Fermi-level density of states**: 0.9471 states/eV per atom
**Density**: 8.71 g/cm3
**Spin magnetization**: 0.00 Bohr magnetons per cell

The structure in Quantum ESPRESSO input format:
```
&SYSTEM
  ibrav = 0, nat = 8, ntyp = 3
/
ATOMIC_SPECIES
As 74.92 As.upf
Ba 137.33 Ba.upf
W 183.84 W.upf
ATOMIC_POSITIONS crystal
As 0.500 0.500 0.000
As 0.250 0.750 0.500
Ba 0.000 0.000 0.000
Ba 0.750 0.250 0.500
W 0.346 0.125 0.250
W 0.404 0.625 0.250
W 0.375 0.654 0.750
W 0.875 0.596 0.750
CELL_PARAMETERS angstrom
4.925 0.000 0.000
0.000 4.925 0.000
2.463 2.463 9.119
```



# 3
VASP calculation (GGA-PBE) on a geometry-optimized BaAsW2 structure. Values from VASP.

Results
**Symmetry**: P4mm
**Energy**: -7.789 eV per atom
**Fermi-level density of states**: 0.7756 states/eV per atom
**Density**: 10.95 g/cm3
**Spin magnetization**: 0.00 Bohr magnetons per cell

The structure in Quantum ESPRESSO input format:
```
&SYSTEM
  ibrav = 0, nat = 4, ntyp = 3
/
ATOMIC_SPECIES
As 74.92 As.upf
Ba 137.33 Ba.upf
W 183.84 W.upf
ATOMIC_POSITIONS crystal
As 0.000 0.000 0.428
Ba 0.500 0.500 0.749
W 0.000 0.000 0.080
W 0.500 0.500 0.243
CELL_PARAMETERS angstrom
-1.074 2.280 2.192
1.136 -1.882 2.515
6.966 3.668 -0.402
```



# 4
VASP calculation (GGA-PBE) on a geometry-optimized BaAsW2 structure. Values from VASP.

Results
**Symmetry**: Cmmm
**Energy**: -7.038 eV per atom
**Fermi-level density of states**: 0.4671 states/eV per atom
**Density**: 11.61 g/cm3
**Spin magnetization**: 0.00 Bohr magnetons per cell

The structure in Quantum ESPRESSO input format:
```
&SYSTEM
  ibrav = 0, nat = 4, ntyp = 3
/
ATOMIC_SPECIES
As 74.92 As.upf
Ba 137.33 Ba.upf
W 183.84 W.upf
ATOMIC_POSITIONS crystal
As 0.500 0.500 0.250
Ba 0.500 0.500 0.750
W 0.000 0.000 0.057
W 0.000 0.000 0.443
CELL_PARAMETERS angstrom
3.036 0.015 0.000
-1.051 2.848 0.000
0.000 0.000 9.576
```



# 5
VASP calculation (GGA-PBE) on a geometry-optimized BaAsW2 structure. Values from VASP.

Results
**Symmetry**: P2/m
**Energy**: -7.151 eV per atom
**Fermi-level density of states**: 0.8163 states/eV per atom
**Density**: 10.36 g/cm3
**Spin magnetization**: 0.00 Bohr magnetons per cell

The structure in Quantum ESPRESSO input format:
```
&SYSTEM
  ibrav = 0, nat = 4, ntyp = 3
/
ATOMIC_SPECIES
As 74.92 As.upf
Ba 137.33 Ba.upf
W 183.84 W.upf
ATOMIC_POSITIONS crystal
As 0.500 0.250 0.250
Ba 0.500 0.750 0.750
W 0.000 0.095 0.079
W 0.000 0.405 0.421
CELL_PARAMETERS angstrom
-4.783 -0.323 0.839
0.535 -1.872 2.330
0.333 4.984 3.820
```



# 6
VASP calculation (GGA-PBE) on a geometry-optimized Ba2AsW structure. Values from VASP.

Results
**Symmetry**: R-3m
**Energy**: -4.384 eV per atom
**Fermi-level density of states**: 0.9151 states/eV per atom
**Density**: 7.82 g/cm3
**Spin magnetization**: 0.39 Bohr magnetons per cell

The structure in Quantum ESPRESSO input format:
```
&SYSTEM
  ibrav = 0, nat = 4, ntyp = 3
/
ATOMIC_SPECIES
As 74.92 As.upf
Ba 137.33 Ba.upf
W 183.84 W.upf
ATOMIC_POSITIONS crystal
As 0.750 0.750 0.750
Ba 0.000 0.000 0.000
Ba 0.500 0.500 0.500
W 0.250 0.250 0.250
CELL_PARAMETERS angstrom
11.237 0.077 0.045
10.687 3.471 0.045
10.687 1.729 3.010
```



# 7
VASP calculation (GGA-PBE) on a geometry-optimized BaYAs2 structure. Values from VASP.

Results
**Symmetry**: F-43m
**Energy**: -4.621 eV per atom
**Fermi-level density of states**: 0.9012 states/eV per atom
**Density**: 6.03 g/cm3
**Spin magnetization**: 0.00 Bohr magnetons per cell
**Energy above the most stable polymorph in this dataset**: 364 kJ/mol of formula units

The structure in Quantum ESPRESSO input format:
```
&SYSTEM
  ibrav = 0, nat = 4, ntyp = 3
/
ATOMIC_SPECIES
Y 88.91 Y.upf
As 74.92 As.upf
Ba 137.33 Ba.upf
ATOMIC_POSITIONS crystal
Y 0.750 0.750 0.750
As 0.000 0.000 0.000
As 0.250 0.250 0.250
Ba 0.500 0.500 0.500
CELL_PARAMETERS angstrom
5.271 0.000 0.000
2.635 4.565 0.000
2.635 1.522 4.304
```



# 8
VASP calculation (GGA-PBE) on a geometry-optimized BaYAs2 structure. Values from VASP.

Results
**Symmetry**: Pmmm
**Energy**: -5.401 eV per atom
**Fermi-level density of states**: 0.4088 states/eV per atom
**Density**: 5.80 g/cm3
**Spin magnetization**: 0.00 Bohr magnetons per cell
**Energy above the most stable polymorph in this dataset**: 63 kJ/mol of formula units

The structure in Quantum ESPRESSO input format:
```
&SYSTEM
  ibrav = 0, nat = 4, ntyp = 3
/
ATOMIC_SPECIES
Y 88.91 Y.upf
As 74.92 As.upf
Ba 137.33 Ba.upf
ATOMIC_POSITIONS crystal
Y 0.500 0.500 0.750
As 0.000 0.000 0.964
As 0.000 0.000 0.536
Ba 0.500 0.500 0.250
CELL_PARAMETERS angstrom
-2.040 2.487 -2.120
-2.955 -1.659 0.898
-0.756 4.777 6.333
```



# 9
VASP calculation (GGA-PBE) on a geometry-optimized Ba2YAs structure. Values from VASP.

Results
**Symmetry**: P4/mmm
**Energy**: -4.049 eV per atom
**Fermi-level density of states**: 0.8897 states/eV per atom
**Density**: 4.59 g/cm3
**Spin magnetization**: 1.93 Bohr magnetons per cell

The structure in Quantum ESPRESSO input format:
```
&SYSTEM
  ibrav = 0, nat = 4, ntyp = 3
/
ATOMIC_SPECIES
Y 88.91 Y.upf
As 74.92 As.upf
Ba 137.33 Ba.upf
ATOMIC_POSITIONS crystal
Y 0.500 0.500 0.250
As 0.500 0.500 0.750
Ba 0.000 0.000 0.933
Ba 0.000 0.000 0.567
CELL_PARAMETERS angstrom
-3.900 1.225 -0.126
0.089 -0.137 -4.087
-2.846 -9.036 0.242
```



# 10
VASP calculation (GGA-PBE) on a geometry-optimized BaYAs2 structure. Values from VASP.

Results
**Symmetry**: Cm
**Energy**: -5.362 eV per atom
**Fermi-level density of states**: 0.7632 states/eV per atom
**Density**: 5.01 g/cm3
**Spin magnetization**: 0.00 Bohr magnetons per cell
**Energy above the most stable polymorph in this dataset**: 78 kJ/mol of formula units

The structure in Quantum ESPRESSO input format:
```
&SYSTEM
  ibrav = 0, nat = 4, ntyp = 3
/
ATOMIC_SPECIES
Y 88.91 Y.upf
As 74.92 As.upf
Ba 137.33 Ba.upf
ATOMIC_POSITIONS crystal
Y 0.283 0.283 0.154
As 0.930 0.930 0.067
As 0.761 0.761 0.669
Ba 0.526 0.526 0.609
CELL_PARAMETERS angstrom
-6.739 2.036 2.185
-7.044 -1.891 1.068
1.314 -1.219 3.926
```



# 11
VASP calculation (GGA-PBE) on a geometry-optimized BaYAs2 structure. Values from VASP.

Results
**Symmetry**: I-42d
**Energy**: -5.174 eV per atom
**Fermi-level density of states**: 1.7395 states/eV per atom
**Density**: 3.81 g/cm3
**Spin magnetization**: 0.00 Bohr magnetons per cell
**Energy above the most stable polymorph in this dataset**: 151 kJ/mol of formula units

The structure in Quantum ESPRESSO input format:
```
&SYSTEM
  ibrav = 0, nat = 8, ntyp = 3
/
ATOMIC_SPECIES
Y 88.91 Y.upf
As 74.92 As.upf
Ba 137.33 Ba.upf
ATOMIC_POSITIONS crystal
Y 0.500 0.500 0.000
Y 0.250 0.750 0.500
As 0.560 0.125 0.250
As 0.190 0.625 0.250
As 0.375 0.440 0.750
As 0.875 0.810 0.750
Ba 0.000 0.000 0.000
Ba 0.750 0.250 0.500
CELL_PARAMETERS angstrom
6.642 0.000 0.000
0.000 6.642 0.000
3.321 3.321 7.426
```



# 12
VASP calculation (GGA-PBE) on a geometry-optimized BaYAs2 structure. Values from VASP.

Results
**Symmetry**: P4mm
**Energy**: -5.394 eV per atom
**Fermi-level density of states**: 0.8981 states/eV per atom
**Density**: 5.13 g/cm3
**Spin magnetization**: 0.00 Bohr magnetons per cell
**Energy above the most stable polymorph in this dataset**: 66 kJ/mol of formula units

The structure in Quantum ESPRESSO input format:
```
&SYSTEM
  ibrav = 0, nat = 4, ntyp = 3
/
ATOMIC_SPECIES
Y 88.91 Y.upf
As 74.92 As.upf
Ba 137.33 Ba.upf
ATOMIC_POSITIONS crystal
Y 0.500 0.500 0.875
As 0.000 0.000 0.875
As 0.500 0.500 0.374
Ba 0.000 0.000 0.375
CELL_PARAMETERS angstrom
4.426 0.000 0.000
0.000 4.426 0.000
0.000 0.000 6.210
```



# 13
VASP calculation (GGA-PBE) on a geometry-optimized Ba2YAs structure. Values from VASP.

Results
**Symmetry**: P2/m
**Energy**: -3.945 eV per atom
**Fermi-level density of states**: 1.3301 states/eV per atom
**Density**: 5.54 g/cm3
**Spin magnetization**: 0.00 Bohr magnetons per cell

The structure in Quantum ESPRESSO input format:
```
&SYSTEM
  ibrav = 0, nat = 4, ntyp = 3
/
ATOMIC_SPECIES
Y 88.91 Y.upf
As 74.92 As.upf
Ba 137.33 Ba.upf
ATOMIC_POSITIONS crystal
Y 0.500 0.500 0.500
As 0.000 0.000 0.500
Ba 0.000 0.000 0.000
Ba 0.500 0.500 0.000
CELL_PARAMETERS angstrom
4.974 0.000 0.000
0.000 4.952 -0.001
0.000 4.947 5.332
```



# 14
VASP calculation (GGA-PBE) on a geometry-optimized BaYAs structure. Values from VASP.

Results
**Symmetry**: P3m1
**Energy**: -5.053 eV per atom
**Fermi-level density of states**: 0.8319 states/eV per atom
**Density**: 4.74 g/cm3
**Spin magnetization**: 0.00 Bohr magnetons per cell
**Energy above the most stable polymorph in this dataset**: 46 kJ/mol of formula units

The structure in Quantum ESPRESSO input format:
```
&SYSTEM
  ibrav = 0, nat = 3, ntyp = 3
/
ATOMIC_SPECIES
Y 88.91 Y.upf
As 74.92 As.upf
Ba 137.33 Ba.upf
ATOMIC_POSITIONS crystal
Y 0.333 0.667 0.832
As 0.000 0.000 0.836
Ba 0.667 0.333 0.332
CELL_PARAMETERS angstrom
-0.692 1.844 -4.473
3.145 -3.681 0.666
-3.754 -3.352 -0.801
```



# 15
VASP calculation (GGA-PBE) on a geometry-optimized Ba2YAs structure. Values from VASP.

Results
**Symmetry**: Imm2
**Energy**: -4.245 eV per atom
**Fermi-level density of states**: 1.1590 states/eV per atom
**Density**: 4.55 g/cm3
**Spin magnetization**: 0.00 Bohr magnetons per cell

The structure in Quantum ESPRESSO input format:
```
&SYSTEM
  ibrav = 0, nat = 4, ntyp = 3
/
ATOMIC_SPECIES
Y 88.91 Y.upf
As 74.92 As.upf
Ba 137.33 Ba.upf
ATOMIC_POSITIONS crystal
Y 0.423 0.423 0.000
As 0.273 0.773 0.500
Ba 0.064 0.064 0.000
Ba 0.740 0.240 0.500
CELL_PARAMETERS angstrom
7.462 -0.001 -0.003
3.927 6.345 0.003
-5.047 -4.335 3.380
```



# 16
VASP calculation (GGA-PBE) on a geometry-optimized BaYAs2 structure. Values from VASP.

Results
**Symmetry**: Fm-3m
**Energy**: -5.251 eV per atom
**Fermi-level density of states**: 0.8916 states/eV per atom
**Density**: 5.73 g/cm3
**Spin magnetization**: 0.00 Bohr magnetons per cell
**Energy above the most stable polymorph in this dataset**: 121 kJ/mol of formula units

The structure in Quantum ESPRESSO input format:
```
&SYSTEM
  ibrav = 0, nat = 4, ntyp = 3
/
ATOMIC_SPECIES
Y 88.91 Y.upf
As 74.92 As.upf
Ba 137.33 Ba.upf
ATOMIC_POSITIONS crystal
Y 0.000 0.000 0.000
As 0.250 0.250 0.250
As 0.750 0.750 0.750
Ba 0.500 0.500 0.500
CELL_PARAMETERS angstrom
-2.228 -4.775 -0.986
-4.012 -1.773 3.081
-4.975 -0.280 -1.976
```



# 17
VASP calculation (GGA-PBE) on a geometry-optimized BaYAs2 structure. Values from VASP.

Results
**Symmetry**: P2/m
**Energy**: -5.408 eV per atom
**Fermi-level density of states**: 0.3828 states/eV per atom
**Density**: 5.70 g/cm3
**Spin magnetization**: 0.00 Bohr magnetons per cell
**Energy above the most stable polymorph in this dataset**: 60 kJ/mol of formula units

The structure in Quantum ESPRESSO input format:
```
&SYSTEM
  ibrav = 0, nat = 4, ntyp = 3
/
ATOMIC_SPECIES
Y 88.91 Y.upf
As 74.92 As.upf
Ba 137.33 Ba.upf
ATOMIC_POSITIONS crystal
Y 0.500 0.750 0.750
As 0.000 0.978 0.968
As 0.000 0.522 0.532
Ba 0.500 0.250 0.250
CELL_PARAMETERS angstrom
3.918 0.000 0.000
0.000 3.523 -0.003
0.000 2.447 7.940
```



# 18
VASP calculation (GGA-PBE) on a geometry-optimized Ba2YAs structure. Values from VASP.

Results
**Symmetry**: R-3m
**Energy**: -3.991 eV per atom
**Fermi-level density of states**: 1.2547 states/eV per atom
**Density**: 3.95 g/cm3
**Spin magnetization**: 2.12 Bohr magnetons per cell

The structure in Quantum ESPRESSO input format:
```
&SYSTEM
  ibrav = 0, nat = 4, ntyp = 3
/
ATOMIC_SPECIES
Y 88.91 Y.upf
As 74.92 As.upf
Ba 137.33 Ba.upf
ATOMIC_POSITIONS crystal
Y 0.250 0.250 0.250
As 0.750 0.750 0.750
Ba 0.025 0.025 0.025
Ba 0.475 0.475 0.475
CELL_PARAMETERS angstrom
-8.823 5.489 3.868
-9.754 1.325 5.104
-7.089 3.843 7.611
```



# 19
VASP calculation (GGA-PBE) on a geometry-optimized BaY3As structure. Values from VASP.

Results
**Symmetry**: Pm-3m
**Energy**: -5.499 eV per atom
**Fermi-level density of states**: 1.8299 states/eV per atom
**Density**: 4.44 g/cm3
**Spin magnetization**: 0.01 Bohr magnetons per cell
**Energy above the most stable polymorph in this dataset**: 0 kJ/mol of formula units

The structure in Quantum ESPRESSO input format:
```
&SYSTEM
  ibrav = 0, nat = 5, ntyp = 3
/
ATOMIC_SPECIES
Y 88.91 Y.upf
As 74.92 As.upf
Ba 137.33 Ba.upf
ATOMIC_POSITIONS crystal
Y 0.000 0.500 0.000
Y 0.000 0.000 0.500
Y 0.500 0.000 0.000
As 0.000 0.000 0.000
Ba 0.500 0.500 0.500
CELL_PARAMETERS angstrom
-0.266 -1.197 5.504
-2.813 -4.746 -1.168
4.880 -2.801 -0.373
```



# 20
VASP calculation (GGA-PBE) on a geometry-optimized BaYAs2 structure. Values from VASP.

Results
**Symmetry**: R3m
**Energy**: -5.515 eV per atom
**Fermi-level density of states**: 0.6391 states/eV per atom
**Density**: 5.09 g/cm3
**Spin magnetization**: 0.00 Bohr magnetons per cell
**Energy above the most stable polymorph in this dataset**: 19 kJ/mol of formula units

The structure in Quantum ESPRESSO input format:
```
&SYSTEM
  ibrav = 0, nat = 4, ntyp = 3
/
ATOMIC_SPECIES
Ba 137.33 Ba.upf
Y 88.91 Y.upf
As 74.92 As.upf
ATOMIC_POSITIONS crystal
Ba 0.497 0.497 0.509
Y 0.669 0.669 0.993
As 0.070 0.070 0.789
As 0.264 0.264 0.209
CELL_PARAMETERS angstrom
-3.100 -2.514 -1.496
-2.693 -1.902 2.702
-6.706 4.674 -0.031
```